Below is crystalline La2PuS3 at its relaxed geometry, with properties calculated at the PBE-GGA level.

a b c (Å): 7.080 7.080 7.117
angles (deg): 99.54 99.54 120.00
Sites, in units of the cell vectors:
La: 0.833 0.167 0.500
La: 0.333 0.667 0.000
La: 0.169 0.831 0.500
La: 0.498 0.502 0.500
Pu: 0.000 0.000 0.000
Pu: 0.666 0.334 0.000
S: 0.596 0.929 0.761
S: 0.071 0.404 0.239
S: 0.911 0.586 0.759
S: 0.253 0.244 0.759
S: 0.414 0.089 0.241
S: 0.756 0.747 0.241

Computed properties:
The raw formation energy is -196 kJ/mol of atoms. As for the density of states at the Fermi level: 18.45 states/eV/cell. The value obtained for the total magnetization is 5.74 μB per formula unit. The space group is C2/m (12). The uncorrected energy is -8.1235 eV/atom.



Below is crystalline Zn2CoBr at its relaxed geometry, with properties calculated at the PBE-GGA level.

a b c (Å): 7.811 7.811 7.811
angles (deg): 24.15 24.15 24.15
Sites, in units of the cell vectors:
Br: 0.250 0.250 0.250
Co: 0.750 0.750 0.750
Zn: 0.010 0.010 0.010
Zn: 0.490 0.490 0.490

Computed properties:
The raw formation energy is 22 kJ/mol of atoms. As for the density of states at the Fermi level: 3.63 states/eV/cell. The value obtained for the total magnetization is 1.18 μB per formula unit. The space group is R-3m (166). The uncorrected energy is -2.6008 eV/atom.



Below is crystalline MgSb2O at its relaxed geometry, with properties calculated at the PBE-GGA level.

a b c (Å): 9.724 9.724 6.358
angles (deg): 90.00 90.00 120.00
Sites, in units of the cell vectors:
Mg: 0.355 0.000 0.133
Mg: 0.000 0.355 0.133
Mg: 0.645 0.645 0.133
Mg: 0.645 0.000 0.867
Mg: 0.000 0.645 0.867
Mg: 0.355 0.355 0.867
Sb: 0.000 0.000 0.000
Sb: 0.000 0.000 0.500
Sb: 0.333 0.667 0.000
Sb: 0.667 0.333 0.000
Sb: 0.333 0.667 0.500
Sb: 0.667 0.333 0.500
Sb: 0.375 0.000 0.630
Sb: 0.000 0.375 0.630
Sb: 0.625 0.625 0.630
Sb: 0.625 0.000 0.370
Sb: 0.000 0.625 0.370
Sb: 0.375 0.375 0.370
O: 0.161 0.000 0.200
O: 0.000 0.161 0.200
O: 0.839 0.839 0.200
O: 0.839 0.000 0.800
O: 0.000 0.839 0.800
O: 0.161 0.161 0.800

Computed properties:
The raw formation energy is -58 kJ/mol of atoms. As for the density of states at the Fermi level: 7.30 states/eV/cell. The value obtained for the total magnetization is 0.00 μB per formula unit. The space group is P-31m (162). The uncorrected energy is -4.2982 eV/atom.